## ErHfTcOs (PBE)

Data for ErHfTcOs after structural relaxation.

Results
Energy of formation   -0.2707 eV/atom
Symmetry   F-43m
Crystal system   cubic

Lattice parameters (Å, degrees): 4.691 4.691 4.691 60.00 60.00 60.00
Fractional positions:
Er 0.000 0.000 0.000
Hf 0.500 0.500 0.500
Tc 0.250 0.250 0.250
Os 0.750 0.750 0.750

## Tb5Mg4Ag (PBE)

Data for Tb5Mg4Ag after structural relaxation.

Results
Energy of formation   -0.1271 eV/atom
Symmetry   P4/mmm
Crystal system   tetragonal

Lattice parameters (Å, degrees): 3.767 3.767 18.797 90.00 90.00 90.00
Fractional positions:
Tb 0.000 0.000 0.000
Tb 0.000 0.000 0.204
Tb 0.000 0.000 0.406
Tb 0.000 0.000 0.594
Tb 0.000 0.000 0.796
Mg 0.500 0.500 0.102
Mg 0.500 0.500 0.303
Mg 0.500 0.500 0.697
Mg 0.500 0.500 0.898
Ag 0.500 0.500 0.500

## NiSe2Br (PBE)

Data for NiSe2Br after structural relaxation.

Results
Symmetry   R-3m
Formation energy without anion corrections   -0.216 eV/atom
Relative energy among the computed polymorphs   0.0218 eV per atom
Crystal system   trigonal

Lattice parameters (Å, degrees): 7.911 7.911 7.911 27.10 27.10 27.10
Fractional positions:
Ni 0.000 0.000 0.000
Se 0.384 0.384 0.384
Se 0.616 0.616 0.616
Br 0.500 0.500 0.500

## BaCaSc2 (PBE)

Data for BaCaSc2 after structural relaxation.

Results
Energy of formation   0.3530 eV/atom
Symmetry   F-43m
Relative energy among the computed polymorphs   0.1569 eV per atom
Crystal system   cubic

Lattice parameters (Å, degrees): 5.792 5.792 5.792 60.00 60.00 60.00
Fractional positions:
Ba 0.000 0.000 0.000
Ca 0.250 0.250 0.250
Sc 0.500 0.500 0.500
Sc 0.750 0.750 0.750

## CsBaSr2Si (PBE)

Data for CsBaSr2Si after structural relaxation.

Results
Symmetry   P4/mmm
Formation energy without anion corrections   0.627 eV/atom
Crystal system   tetragonal

Lattice parameters (Å, degrees): 7.233 7.233 5.839 90.00 90.00 90.00
Fractional positions:
Cs 0.000 0.000 0.000
Ba 0.500 0.500 0.500
Sr 0.000 0.500 0.500
Sr 0.500 0.000 0.500
Si 0.500 0.500 0.000

## VCrTc2 (PBE)

Data for VCrTc2 after structural relaxation.

Results
Energy of formation   -0.1470 eV/atom
Symmetry   P4/mmm
Crystal system   tetragonal

Lattice parameters (Å, degrees): 2.999 2.999 6.012 90.00 90.00 90.00
Fractional positions:
V 0.000 0.000 0.000
Cr 0.000 0.000 0.500
Tc 0.500 0.500 0.251
Tc 0.500 0.500 0.749

## YBe3Co (PBE)

Data for YBe3Co after structural relaxation.

Results
Energy of formation   -0.1041 eV/atom
Symmetry   Pm-3m
Relative energy among the computed polymorphs   0.0000 eV per atom
Crystal system   cubic

Lattice parameters (Å, degrees): 4.074 4.074 4.074 90.00 90.00 90.00
Fractional positions:
Y 0.000 0.000 0.000
Be 0.000 0.500 0.500
Be 0.500 0.000 0.500
Be 0.500 0.500 0.000
Co 0.500 0.500 0.500

## AlIn3 (PBE)

Data for AlIn3 after structural relaxation.

Results
Energy of formation   0.1302 eV/atom
Symmetry   Cmcm
Crystal system   orthorhombic

Lattice parameters (Å, degrees): 6.400 6.400 5.162 90.00 90.00 109.22
Fractional positions:
Al 0.096 0.904 0.750
Al 0.904 0.096 0.250
In 0.085 0.380 0.750
In 0.380 0.085 0.250
In 0.403 0.597 0.250
In 0.597 0.403 0.750
In 0.620 0.915 0.750
In 0.915 0.620 0.250

## VAgAs2Br (PBE)

Data for VAgAs2Br after structural relaxation.

Results
Symmetry   P4/mmm
Formation energy without anion corrections   0.251 eV/atom
Relative energy among the computed polymorphs   0.0000 eV per atom
Crystal system   tetragonal

Lattice parameters (Å, degrees): 4.667 4.667 5.567 90.00 90.00 90.00
Fractional positions:
V 0.000 0.000 0.000
Ag 0.500 0.500 0.500
As 0.000 0.500 0.000
As 0.500 0.000 0.000
Br 0.000 0.000 0.500

## V2Ni2Pd3 (PBE)

Data for V2Ni2Pd3 after structural relaxation.

Results
Energy of formation   -0.0641 eV/atom
Symmetry   P2_1/c
Crystal system   monoclinic

Lattice parameters (Å, degrees): 4.797 9.609 4.763 90.00 119.30 90.00
Fractional positions:
V 0.090 0.248 0.298
V 0.090 0.252 0.798
V 0.910 0.748 0.202
V 0.910 0.752 0.702
Ni 0.424 0.686 0.708
Ni 0.424 0.814 0.208
Ni 0.576 0.186 0.792
Ni 0.576 0.314 0.292
Pd 0.000 0.000 0.000
Pd 0.000 0.500 0.500
Pd 0.322 0.555 0.159
Pd 0.322 0.945 0.659
Pd 0.678 0.055 0.341
Pd 0.678 0.445 0.841

## FeCu2Te (PBE)

Data for FeCu2Te after structural relaxation.

Results
Symmetry   I-42d
Formation energy without anion corrections   0.452 eV/atom
Crystal system   tetragonal

Lattice parameters (Å, degrees): 5.705 5.705 5.705 101.20 101.20 127.71
Fractional positions:
Fe 0.000 0.000 0.000
Fe 0.750 0.250 0.500
Cu 0.112 0.125 0.487
Cu 0.375 0.888 0.013
Cu 0.638 0.625 0.513
Cu 0.875 0.362 0.987
Te 0.250 0.750 0.500
Te 0.500 0.500 0.000

## Ac2PrNpO8 (PBE)

Data for Ac2PrNpO8 after structural relaxation.

Results
Symmetry   P2/m
Formation energy without anion corrections   -3.111 eV/atom
Crystal system   monoclinic

Lattice parameters (Å, degrees): 4.139 7.835 5.795 90.00 95.28 90.00
Fractional positions:
Ac 0.000 0.249 0.000
Ac 0.000 0.751 0.000
Pr 0.500 0.000 0.500
Np 0.500 0.500 0.500
O 0.003 0.000 0.251
O 0.078 0.500 0.297
O 0.457 0.289 0.722
O 0.457 0.711 0.722
O 0.543 0.289 0.278
O 0.543 0.711 0.278
O 0.922 0.500 0.703
O 0.997 0.000 0.749

## RbScSbC2 (PBE)

Data for RbScSbC2 after structural relaxation.

Results
Symmetry   P4/mmm
Formation energy without anion corrections   1.474 eV/atom
Crystal system   tetragonal

Lattice parameters (Å, degrees): 4.637 4.637 5.477 90.00 90.00 90.00
Fractional positions:
Rb 0.000 0.000 0.000
Sc 0.500 0.500 0.500
Sb 0.500 0.500 0.000
C 0.000 0.500 0.500
C 0.500 0.000 0.500

## Sm4Cu2Ni5 (PBE)

Data for Sm4Cu2Ni5 after structural relaxation.

Results
Energy of formation   -0.2788 eV/atom
Symmetry   P2/m
Crystal system   monoclinic

Lattice parameters (Å, degrees): 6.612 4.035 7.652 90.00 91.43 90.00
Fractional positions:
Sm 0.240 0.000 0.125
Sm 0.254 0.000 0.619
Sm 0.746 0.000 0.381
Sm 0.760 0.000 0.875
Cu 0.407 0.500 0.864
Cu 0.593 0.500 0.136
Ni 0.000 0.500 0.500
Ni 0.036 0.500 0.829
Ni 0.355 0.500 0.379
Ni 0.645 0.500 0.621
Ni 0.964 0.500 0.171

## BaCIO2 (PBE)

Data for BaCIO2 after structural relaxation.

Results
Symmetry   P4/mmm
Formation energy without anion corrections   0.348 eV/atom
Relative energy among the computed polymorphs   0.0000 eV per atom
Crystal system   tetragonal

Lattice parameters (Å, degrees): 4.582 4.582 4.316 90.00 90.00 90.00
Fractional positions:
Ba 0.000 0.000 0.000
C 0.500 0.500 0.500
I 0.500 0.500 0.000
O 0.000 0.500 0.500
O 0.500 0.000 0.500

## HoAlPt3 (PBE)

Data for HoAlPt3 after structural relaxation.

Results
Energy of formation   -0.7363 eV/atom
Symmetry   Pbam
Crystal system   orthorhombic

Lattice parameters (Å, degrees): 6.063 6.425 5.084 90.00 90.00 90.00
Fractional positions:
Ho 0.000 0.000 0.000
Ho 0.500 0.500 0.000
Al 0.000 0.500 0.500
Al 0.500 0.000 0.500
Pt 0.000 0.500 0.000
Pt 0.144 0.156 0.500
Pt 0.356 0.656 0.500
Pt 0.500 0.000 0.000
Pt 0.644 0.344 0.500
Pt 0.856 0.844 0.500

## MgPaFe2 (PBE)

Data for MgPaFe2 after structural relaxation.

Results
Energy of formation   0.0240 eV/atom
Symmetry   P4/mmm
Crystal system   tetragonal

Lattice parameters (Å, degrees): 4.311 4.311 3.360 90.00 90.00 90.00
Fractional positions:
Mg 0.000 0.000 0.000
Pa 0.500 0.500 0.000
Fe 0.000 0.500 0.500
Fe 0.500 0.000 0.500

## HgRhO2 (PBE)

Data for HgRhO2 after structural relaxation.

Results
Symmetry   P4/mmm
Formation energy without anion corrections   0.375 eV/atom
Crystal system   tetragonal

Lattice parameters (Å, degrees): 4.122 4.122 2.881 90.00 90.00 90.00
Fractional positions:
Hg 0.000 0.000 0.000
Rh 0.500 0.500 0.000
O 0.000 0.500 0.500
O 0.500 0.000 0.500

## Ac2TbTl (PBE)

Data for Ac2TbTl after structural relaxation.

Results
Energy of formation   -0.1062 eV/atom
Symmetry   P4/mmm
Relative energy among the computed polymorphs   0.0000 eV per atom
Crystal system   tetragonal

Lattice parameters (Å, degrees): 3.940 3.940 9.652 90.00 90.00 90.00
Fractional positions:
Ac 0.000 0.000 0.233
Ac 0.000 0.000 0.767
Tb 0.500 0.500 0.500
Tl 0.500 0.500 0.000

## Sr2HgH (PBE)

Data for Sr2HgH after structural relaxation.

Results
Symmetry   I-42d
Relative energy among the computed polymorphs   0.1029 eV per atom
Crystal system   tetragonal

Lattice parameters (Å, degrees): 6.761 6.761 6.761 112.95 112.95 102.72
Fractional positions:
Sr 0.039 0.125 0.414
Sr 0.375 0.961 0.086
Sr 0.711 0.625 0.586
Sr 0.875 0.289 0.914
Hg 0.250 0.750 0.500
Hg 0.500 0.500 0.000
H 0.000 0.000 0.000
H 0.750 0.250 0.500

## Tl2NiW (PBE)

Data for Tl2NiW after structural relaxation.

Results
Energy of formation   0.5394 eV/atom
Symmetry   P4mm
Relative energy among the computed polymorphs   0.0167 eV per atom
Crystal system   tetragonal

Lattice parameters (Å, degrees): 2.980 2.980 9.477 90.00 90.00 90.00
Fractional positions:
Tl 0.000 0.000 0.000
Tl 0.500 0.500 0.361
Ni 0.500 0.500 0.763
W 0.000 0.000 0.613

## Ca2Nd5Sm (PBE)

Data for Ca2Nd5Sm after structural relaxation.

Results
Energy of formation   0.0424 eV/atom
Symmetry   I4/mmm
Crystal system   tetragonal

Lattice parameters (Å, degrees): 11.260 11.260 11.260 153.11 153.11 38.39
Fractional positions:
Ca 0.250 0.250 0.000
Ca 0.750 0.750 0.000
Nd 0.000 0.000 0.000
Nd 0.118 0.618 0.500
Nd 0.382 0.882 0.500
Nd 0.618 0.118 0.500
Nd 0.882 0.382 0.500
Sm 0.500 0.500 0.000

## Li2PrZn2Au2 (PBE)

Data for Li2PrZn2Au2 after structural relaxation.

Results
Energy of formation   -0.4981 eV/atom
Symmetry   C2/m
Crystal system   monoclinic

Lattice parameters (Å, degrees): 4.542 4.542 8.081 106.65 106.65 60.04
Fractional positions:
Li 0.140 0.140 0.420
Li 0.860 0.860 0.580
Pr 0.000 0.000 0.000
Zn 0.427 0.427 0.280
Zn 0.573 0.573 0.720
Au 0.253 0.253 0.760
Au 0.747 0.747 0.240

## TbFe4 (PBE)

Data for TbFe4 after structural relaxation.

Results
Energy of formation   1.9790 eV/atom
Symmetry   Pm-3m
Crystal system   cubic

Lattice parameters (Å, degrees): 4.602 4.602 4.602 90.00 90.00 90.00
Fractional positions:
Tb 0.000 0.000 0.000
Fe 0.000 0.000 0.500
Fe 0.000 0.500 0.000
Fe 0.500 0.000 0.000
Fe 0.500 0.500 0.500

## TlSn3Pb2S6 (PBE)

Data for TlSn3Pb2S6 after structural relaxation.

Results
Symmetry   C2/m
Formation energy without anion corrections   -0.421 eV/atom
Crystal system   monoclinic

Lattice parameters (Å, degrees): 9.379 9.379 8.396 102.73 102.73 25.55
Fractional positions:
Tl 0.000 0.000 0.000
Sn 0.000 0.000 0.500
Sn 0.332 0.332 0.164
Sn 0.668 0.668 0.836
Pb 0.334 0.334 0.664
Pb 0.666 0.666 0.336
S 0.161 0.161 0.591
S 0.176 0.176 0.088
S 0.496 0.496 0.725
S 0.504 0.504 0.275
S 0.824 0.824 0.912
S 0.839 0.839 0.409